Crystalline Y2CuSn2 at its relaxed geometry, computed with PBE-GGA.

Unit cell a=7.2335 b=7.2335 c=4.6983 alpha=90.00 beta=90.00 gamma=90.00
With the nearest neighbours (Å) after each atom.
Space group P4/mbm (No. 127)
Inequivalent atoms, fractional coordinates:
Y  0.1686  0.3314  0.0000 x4  6 Sn 3.04-3.26
Cu  0.0000  0.0000  0.5000 x2  4 Sn 2.78
Sn  0.1429  0.6429  0.5000 x4  2 Cu 2.78, 1 Sn 2.92, 2 Y 3.04

Properties
Calculated density: 6.5 g/cm3
E above lowest polymorph: 0 meV per atom
Formation enthalpy at 0 K: -0.522 eV per atom

Crystalline ThMg3Hg2 at its relaxed geometry, computed with PBE-GGA.

Unit cell a=16.8750 b=4.7669 c=7.9328 alpha=90.00 beta=114.88 gamma=90.00
With the nearest neighbours (Å) after each atom.
Space group C2/m (No. 12)
Inequivalent atoms, fractional coordinates:
Th  0.1258  0.0000  0.1970 x4  7 Hg 3.28-3.59, 5 Mg 3.44-3.57
Mg  0.0638  0.0000  0.7114 x4  3 Hg 2.82-2.90, 1 Mg 3.13
Mg  0.1270  0.5000  0.5103 x4  3 Hg 2.79-2.89, 1 Mg 3.02
Mg  0.1952  0.5000  0.9290 x4  2 Hg 2.79-2.88, 3 Mg 2.94-3.02
Hg  0.0165  0.5000  0.8352 x4  4 Mg 2.79-2.82, 1 Hg 2.89
Hg  0.2270  0.0000  0.6713 x4  4 Mg 2.88-2.90

Properties
Calculated density: 8.1 g/cm3
Formation enthalpy at 0 K: -0.189 eV per atom

Crystalline LiSi2IrF at its relaxed geometry, computed with PBE-GGA.

Unit cell a=4.5279 b=4.5279 c=4.9996 alpha=90.00 beta=90.00 gamma=90.00
With the nearest neighbours (Å) after each atom.
Space group P4/mmm (No. 123)
Inequivalent atoms, fractional coordinates:
Li  0.0000  0.0000  0.0000 x1  4 F 3.20, 8 Si 3.37
Si  0.0000  0.5000  0.5000 x2  2 Ir 2.26
Ir  0.5000  0.5000  0.5000 x1  4 Si 2.26, 2 F 2.50
F  0.5000  0.5000  0.0000 x1  2 Ir 2.50

Properties
Calculated density: 4.4 g/cm3
Formation energy (no corrections): -12 kJ/mol of atoms